# LiIn2Au

Crystalline LiIn2Au at its relaxed geometry (GGA-PBEsol, the Alexandria database).

a = 4.2327 Å, b = 4.2327 Å, c = 8.5662 Å
α = 90.00°, β = 90.00°, γ = 90.00°
Last column: nearest neighbours and their distance in Å.
Space group I-4m2 (No. 119)
Unique sites:
Li  0.0000  0.0000  0.0000 x2  8 In 2.99-3.01, 4 Au 3.01
In  0.0000  0.0000  0.5000 x2  4 Li 2.99, 4 In 3.01, 4 Au 3.01
In  0.0000  0.5000  0.7500 x2  4 Au 2.99, 4 In 3.01, 4 Li 3.01
Au  0.0000  0.5000  0.2500 x2  8 In 2.99-3.01, 4 Li 3.01

Results
Calculated formation energy   -0.289 eV per atom
Magnetization   0.00 μB/atom
DFT total energy   -3.253 eV per atom
Fermi-level density of states   0.31 states/eV per atom

---

# AlFe2W

Crystalline AlFe2W at its relaxed geometry (GGA-PBEsol, the Alexandria database).

a = 4.1079 Å, b = 4.1079 Å, c = 2.8820 Å
α = 90.00°, β = 90.00°, γ = 90.00°
Last column: nearest neighbours and their distance in Å.
Space group P4/mmm (No. 123)
Unique sites:
Al  0.0000  0.0000  0.0000 x1  8 Fe 2.51
Fe  0.0000  0.5000  0.5000 x2  4 W 2.51, 4 Al 2.51
W  0.5000  0.5000  0.0000 x1  8 Fe 2.51

Results
Calculated formation energy   -0.167 eV per atom
Magnetization   0.18 μB/atom
DFT total energy   -9.123 eV per atom
Fermi-level density of states   0.80 states/eV per atom

---

# ScSbAu2

Crystalline ScSbAu2 at its relaxed geometry (GGA-PBEsol, the Alexandria database).

a = 4.1359 Å, b = 4.1359 Å, c = 4.4774 Å
α = 90.00°, β = 90.00°, γ = 90.00°
Last column: nearest neighbours and their distance in Å.
Space group P4/mmm (No. 123)
Unique sites:
Sc  0.0000  0.0000  0.0000 x1  4 Sb 2.92, 8 Au 3.05
Sb  0.5000  0.5000  0.0000 x1  4 Sc 2.92, 8 Au 3.05
Au  0.0000  0.5000  0.5000 x2  4 Au 2.92, 4 Sb 3.05, 4 Sc 3.05

Results
Magnetization   0.00 μB/atom
DFT total energy   -5.305 eV per atom
Fermi-level density of states   0.48 states/eV per atom